The following is a PBE calculation of a geometry-optimized Zr5TiC4 structure, from the Alexandria database.

a b c (Å): 7.3388 7.3388 6.5958
angles (deg): 103.50 103.50 26.01
Sites, in units of the cell vectors:
Zr  0.0000  0.0000  0.0000
Zr  0.3362  0.3362  0.6519
Zr  0.3398  0.3398  0.1808
Zr  0.6602  0.6602  0.8192
Zr  0.6638  0.6638  0.3481
Ti  0.0000  0.0000  0.5000
C  0.1649  0.1649  0.5872
C  0.4992  0.4992  0.2581
C  0.5008  0.5008  0.7419
C  0.8351  0.8351  0.4128

Output
- Space-group type: C2/m
- DOS(E_F): 4.2 states/eV per cell
- Total moment: 0.00 μB per formula unit
- Formation enthalpy at 0 K: -0.6389 eV per atom
- ρ: 6.1 g/cm3

***

The following is a PBE calculation of a geometry-optimized Ce3Tm5Bi8 structure, from the Alexandria database.

a b c (Å): 8.9890 8.9890 8.9890
angles (deg): 60.12 60.12 60.12
Sites, in units of the cell vectors:
Ce  0.0000  0.5000  0.5000
Ce  0.5000  0.0000  0.5000
Ce  0.5000  0.5000  0.0000
Tm  0.0000  0.0000  0.0000
Tm  0.0000  0.0000  0.5000
Tm  0.0000  0.5000  0.0000
Tm  0.5000  0.0000  0.0000
Tm  0.5000  0.5000  0.5000
Bi  0.2434  0.7500  0.7500
Bi  0.2465  0.2465  0.2465
Bi  0.2500  0.2500  0.7566
Bi  0.2500  0.7566  0.2500
Bi  0.7500  0.2433  0.7500
Bi  0.7500  0.7500  0.2434
Bi  0.7535  0.7535  0.7535
Bi  0.7566  0.2500  0.2500

Output
- Space-group type: R-3m
- DOS(E_F): 20.0 states/eV per cell
- Total moment: 2.49 μB per formula unit
- Formation enthalpy at 0 K: -0.7828 eV per atom
- ρ: 9.5 g/cm3

***

The following is a PBE calculation of a geometry-optimized AcHo2Sn structure, from the Alexandria database.

a b c (Å): 11.9623 11.9623 11.9623
angles (deg): 17.61 17.61 17.61
Sites, in units of the cell vectors:
Ac  0.0000  0.0000  0.0000
Ho  0.1009  0.1009  0.1009
Ho  0.8991  0.8991  0.8991
Sn  0.5000  0.5000  0.5000

Output
- Space-group type: R-3m
- DOS(E_F): 4.1 states/eV per cell
- Total moment: 0.00 μB per formula unit
- Formation enthalpy at 0 K: -0.0040 eV per atom
- Energy above the most stable polymorph in this dataset: 123.1 kJ/mol of formula units
- ρ: 8.2 g/cm3

***

The following is a PBE calculation of a geometry-optimized ZnBiF3 structure, from the Alexandria database.

a b c (Å): 4.2175 4.2175 4.2175
angles (deg): 90.00 90.00 90.00
Sites, in units of the cell vectors:
Zn  0.0000  0.0000  0.0000
Bi  0.5000  0.5000  0.5000
F  0.0000  0.0000  0.5000
F  0.0000  0.5000  0.0000
F  0.5000  0.0000  0.0000

Output
- Space-group type: Pm-3m
- DOS(E_F): 2.2 states/eV per cell
- Total moment: 0.00 μB per formula unit
- Energy above the most stable polymorph in this dataset: 61.9 kJ/mol of formula units
- ρ: 7.3 g/cm3

***

The following is a PBE calculation of a geometry-optimized Ac6Si3Cl structure, from the Alexandria database.

a b c (Å): 9.8320 9.8320 7.5565
angles (deg): 90.00 90.00 101.26
Sites, in units of the cell vectors:
Ac  0.0067  0.9933  0.5000
Ac  0.0992  0.5648  0.5719
Ac  0.2440  0.7560  0.1345
Ac  0.2959  0.3688  0.0933
Ac  0.3688  0.2959  0.5933
Ac  0.4352  0.9008  0.5719
Ac  0.5648  0.0992  0.0719
Ac  0.6312  0.7041  0.0933
Ac  0.7041  0.6312  0.5933
Ac  0.7560  0.2440  0.6345
Ac  0.9008  0.4352  0.0719
Ac  0.9933  0.0067  0.0000
Si  0.0694  0.2789  0.7760
Si  0.2789  0.0694  0.2760
Si  0.4022  0.5978  0.4047
Si  0.5978  0.4022  0.9047
Si  0.7211  0.9306  0.7760
Si  0.9306  0.7211  0.2760
Cl  0.1563  0.8437  0.7615
Cl  0.8437  0.1563  0.2615

Output
- Space-group type: Cmc2_1
- DOS(E_F): 21.2 states/eV per cell
- Total DFT energy (no corrections): -0.1782 Ha/atom
- Total moment: 0.00 μB per formula unit
- ρ: 6.9 g/cm3

***

The following is a PBE calculation of a geometry-optimized Ca2ZnGa4Pd3 structure, from the Alexandria database.

a b c (Å): 4.3350 4.3350 10.3702
angles (deg): 90.00 90.00 90.00
Sites, in units of the cell vectors:
Ca  0.0000  0.5000  0.2482
Ca  0.5000  0.0000  0.7518
Zn  0.5000  0.5000  0.0000
Ga  0.0000  0.0000  0.5000
Ga  0.0000  0.5000  0.8703
Ga  0.5000  0.0000  0.1297
Ga  0.5000  0.5000  0.5000
Pd  0.0000  0.0000  0.0000
Pd  0.0000  0.5000  0.6304
Pd  0.5000  0.0000  0.3696

Output
- Space-group type: P-4m2
- DOS(E_F): 4.5 states/eV per cell
- Total moment: 0.00 μB per formula unit
- Formation enthalpy at 0 K: -0.6255 eV per atom
- ρ: 6.3 g/cm3